No. 1
DFT (PBE-GGA) results for a relaxed TbHoTiAl crystal.

Structure (CIF):
```
data_TbHoTiAl
_space_group_name_H-M_alt 'P 1'
_space_group_IT_number 1
_cell_length_a 5.138
_cell_length_b 5.138
_cell_length_c 5.138
_cell_angle_alpha 60.00
_cell_angle_beta 60.00
_cell_angle_gamma 60.00
loop_
_space_group_symop_operation_xyz
'x,y,z'
loop_
_atom_site_label
_atom_site_type_symbol
_atom_site_fract_x
_atom_site_fract_y
_atom_site_fract_z
Ho1 Ho 0.500 0.500 0.500
Al1 Al 0.250 0.250 0.250
Ti1 Ti 0.750 0.750 0.750
Tb1 Tb 0.000 0.000 0.000
```

Final energy in Ry per atom: -0.3868
Volume in Å³/f.u.: 95.9

---

No. 2
DFT (PBE-GGA) results for a relaxed K3SbS3 crystal.

Structure (CIF):
```
data_K3SbS3
_space_group_name_H-M_alt 'P 1'
_space_group_IT_number 1
_cell_length_a 9.610
_cell_length_b 9.610
_cell_length_c 9.610
_cell_angle_alpha 90.00
_cell_angle_beta 90.00
_cell_angle_gamma 90.00
loop_
_space_group_symop_operation_xyz
'x,y,z'
loop_
_atom_site_label
_atom_site_type_symbol
_atom_site_fract_x
_atom_site_fract_y
_atom_site_fract_z
S1 S 0.254 0.348 0.033
S2 S 0.652 0.533 0.246
S3 S 0.246 0.652 0.533
S4 S 0.467 0.746 0.848
S5 S 0.152 0.967 0.754
S6 S 0.967 0.754 0.152
S7 S 0.533 0.246 0.652
S8 S 0.348 0.033 0.254
S9 S 0.033 0.254 0.348
S10 S 0.754 0.152 0.967
S11 S 0.848 0.467 0.746
S12 S 0.746 0.848 0.467
Sb1 Sb 0.722 0.778 0.222
Sb2 Sb 0.222 0.722 0.778
Sb3 Sb 0.278 0.278 0.278
Sb4 Sb 0.778 0.222 0.722
K1 K 0.559 0.441 0.941
K2 K 0.176 0.324 0.676
K3 K 0.676 0.176 0.324
K4 K 0.941 0.559 0.441
K5 K 0.324 0.676 0.176
K6 K 0.824 0.824 0.824
K7 K 0.059 0.059 0.059
K8 K 0.565 0.565 0.565
K9 K 0.065 0.935 0.435
K10 K 0.441 0.941 0.559
K11 K 0.935 0.435 0.065
K12 K 0.435 0.065 0.935
```

Final energy in Ry per atom: -0.2806
Raw formation energy in kJ per mole of atoms: -95.5
Volume in Å³/f.u.: 221.8

---

No. 3
DFT (PBE-GGA) results for a relaxed Na3Cd2In2Bi4 crystal.

Structure (CIF):
```
data_Na3Cd2In2Bi4
_space_group_name_H-M_alt 'P 1'
_space_group_IT_number 1
_cell_length_a 5.024
_cell_length_b 5.024
_cell_length_c 16.049
_cell_angle_alpha 90.00
_cell_angle_beta 90.00
_cell_angle_gamma 120.00
loop_
_space_group_symop_operation_xyz
'x,y,z'
loop_
_atom_site_label
_atom_site_type_symbol
_atom_site_fract_x
_atom_site_fract_y
_atom_site_fract_z
Na1 Na 0.000 0.000 0.000
Na2 Na 0.000 0.000 0.255
Na3 Na 0.000 0.000 0.745
Cd1 Cd 0.667 0.333 0.844
Cd2 Cd 0.333 0.667 0.156
Bi1 Bi 0.333 0.667 0.372
Bi2 Bi 0.333 0.667 0.884
Bi3 Bi 0.667 0.333 0.116
Bi4 Bi 0.667 0.333 0.628
In1 In 0.333 0.667 0.567
In2 In 0.667 0.333 0.433
```

Final energy in Ry per atom: -0.1904
Volume in Å³/f.u.: 350.8

---

No. 4
DFT (PBE-GGA) results for a relaxed KSeBr4 crystal.

Structure (CIF):
```
data_KSeBr4
_space_group_name_H-M_alt 'P 1'
_space_group_IT_number 1
_cell_length_a 6.473
_cell_length_b 6.473
_cell_length_c 6.473
_cell_angle_alpha 60.00
_cell_angle_beta 60.00
_cell_angle_gamma 60.00
loop_
_space_group_symop_operation_xyz
'x,y,z'
loop_
_atom_site_label
_atom_site_type_symbol
_atom_site_fract_x
_atom_site_fract_y
_atom_site_fract_z
Br1 Br 0.375 0.875 0.375
Br2 Br 0.875 0.375 0.375
Br3 Br 0.375 0.375 0.875
Br4 Br 0.375 0.375 0.375
K1 K 0.750 0.750 0.750
Se1 Se 0.000 0.000 0.000
```

Final energy in Ry per atom: -0.1298
Raw formation energy in kJ per mole of atoms: 10.9
Volume in Å³/f.u.: 191.8

---

No. 5
DFT (PBE-GGA) results for a relaxed Nd3HoEr2 crystal.

Structure (CIF):
```
data_Nd3HoEr2
_space_group_name_H-M_alt 'P 1'
_space_group_IT_number 1
_cell_length_a 9.062
_cell_length_b 6.685
_cell_length_c 6.685
_cell_angle_alpha 94.64
_cell_angle_beta 81.49
_cell_angle_gamma 81.49
loop_
_space_group_symop_operation_xyz
'x,y,z'
loop_
_atom_site_label
_atom_site_type_symbol
_atom_site_fract_x
_atom_site_fract_y
_atom_site_fract_z
Nd1 Nd 0.986 0.849 0.682
Nd2 Nd 0.250 0.436 0.564
Nd3 Nd 0.486 0.682 0.849
Nd4 Nd 0.750 0.564 0.436
Nd5 Nd 0.014 0.151 0.318
Nd6 Nd 0.514 0.318 0.151
Er1 Er 0.378 0.882 0.375
Er2 Er 0.878 0.375 0.882
Er3 Er 0.622 0.118 0.625
Er4 Er 0.122 0.625 0.118
Ho1 Ho 0.250 0.103 0.897
Ho2 Ho 0.750 0.897 0.103
```

Final energy in Ry per atom: -0.3385
Volume in Å³/f.u.: 196.9

---

No. 6
DFT (PBE-GGA) results for a relaxed MnNbTlZn2 crystal.

Structure (CIF):
```
data_MnNbTlZn2
_space_group_name_H-M_alt 'P 1'
_space_group_IT_number 1
_cell_length_a 4.846
_cell_length_b 4.846
_cell_length_c 5.464
_cell_angle_alpha 90.00
_cell_angle_beta 90.00
_cell_angle_gamma 90.00
loop_
_space_group_symop_operation_xyz
'x,y,z'
loop_
_atom_site_label
_atom_site_type_symbol
_atom_site_fract_x
_atom_site_fract_y
_atom_site_fract_z
Tl1 Tl 0.000 0.000 0.000
Nb1 Nb 0.000 0.000 0.500
Mn1 Mn 0.500 0.500 0.500
Zn1 Zn 0.500 0.000 0.000
Zn2 Zn 0.000 0.500 0.000
```

Final energy in Ry per atom: -0.2504
Volume in Å³/f.u.: 128.3

---

No. 7
DFT (PBE-GGA) results for a relaxed Li2CuAu crystal.

Structure (CIF):
```
data_Li2CuAu
_space_group_name_H-M_alt 'P 1'
_space_group_IT_number 1
_cell_length_a 3.232
_cell_length_b 3.232
_cell_length_c 5.733
_cell_angle_alpha 90.00
_cell_angle_beta 90.00
_cell_angle_gamma 90.00
loop_
_space_group_symop_operation_xyz
'x,y,z'
loop_
_atom_site_label
_atom_site_type_symbol
_atom_site_fract_x
_atom_site_fract_y
_atom_site_fract_z
Au1 Au 0.000 0.000 0.498
Li1 Li 0.000 0.000 0.983
Li2 Li 0.500 0.500 0.264
Cu1 Cu 0.500 0.500 0.755
```

Final energy in Ry per atom: -0.2210
Volume in Å³/f.u.: 59.9

---

No. 8
DFT (PBE-GGA) results for a relaxed La2Sm2Sb2C crystal.

Structure (CIF):
```
data_La2Sm2Sb2C
_space_group_name_H-M_alt 'P 1'
_space_group_IT_number 1
_cell_length_a 4.955
_cell_length_b 4.955
_cell_length_c 9.001
_cell_angle_alpha 105.98
_cell_angle_beta 105.98
_cell_angle_gamma 90.00
loop_
_space_group_symop_operation_xyz
'x,y,z'
loop_
_atom_site_label
_atom_site_type_symbol
_atom_site_fract_x
_atom_site_fract_y
_atom_site_fract_z
C1 C 0.000 0.000 0.000
La1 La 0.839 0.839 0.678
La2 La 0.161 0.161 0.322
Sb1 Sb 0.364 0.364 0.727
Sb2 Sb 0.636 0.636 0.273
Sm1 Sm 0.500 0.000 0.000
Sm2 Sm 0.000 0.500 0.000
```

Final energy in Ry per atom: -0.4459
Raw formation energy in kJ per mole of atoms: -78.6
Volume in Å³/f.u.: 203.6

---

- Among the records above, which one has the lowest volume?
  Li2CuAu